Material: ScAg2Cl
Method: DFT, SCAN
State: single point on PBEsol structure

Total magnetization ... 0.0 Bohr magnetons per cell
ΔE_f (raw) ... -0.459 eV per atom

a b c (Å): 5.3344 11.1284 3.0651
angles (deg): 90.00 124.35 90.00
With the nearest neighbours (Å) after each atom.
Fractional positions:
Sc (0.0000, 0.0000, 0.0000)  4 Cl 2.67-2.70
Sc (0.5000, 0.5000, 0.0000)  4 Cl 2.67-2.70
Ag (0.2500, 0.2500, 0.5000)  4 Ag 2.67-2.70
Ag (0.2500, 0.7500, 0.5000)  4 Ag 2.67-2.70
Ag (0.7500, 0.2500, 0.5000)  4 Ag 2.67-2.70
Ag (0.7500, 0.7500, 0.5000)  4 Ag 2.67-2.70
Cl (0.0000, 0.5000, 0.0000)  4 Sc 2.67-2.70
Cl (0.5000, 0.0000, 0.0000)  4 Sc 2.67-2.70

Material: HfAl2CdS
Method: DFT, SCAN
State: single point on PBEsol structure

Total magnetization ... 0.0 Bohr magnetons per cell
ΔE_f (raw) ... 0.351 eV per atom

a b c (Å): 5.3632 5.3632 4.7406
angles (deg): 90.00 90.00 90.00
With the nearest neighbours (Å) after each atom.
Fractional positions:
Hf (0.0000, 0.0000, 0.0000)  2 S 2.37
Al (0.0000, 0.5000, 0.0000)  2 Hf 2.68
Al (0.5000, 0.0000, 0.0000)  2 Hf 2.68
Cd (0.5000, 0.5000, 0.5000)  8 Al 3.58, 4 S 3.79
S (0.0000, 0.0000, 0.5000)  2 Hf 2.37

Material: PrEuAg2
Method: DFT, SCAN
State: single point on PBEsol structure

Total magnetization ... 29.4 Bohr magnetons per cell
E_form ... -29 kJ per mole of atoms

a b c (Å): 7.4031 7.4031 7.4031
angles (deg): 90.00 90.00 90.00
With the nearest neighbours (Å) after each atom.
Fractional positions:
Pr (0.0000, 0.0000, 0.0000)  8 Ag 3.21
Pr (0.0000, 0.5000, 0.5000)  8 Ag 3.21
Pr (0.5000, 0.0000, 0.5000)  8 Ag 3.21
Pr (0.5000, 0.5000, 0.0000)  8 Ag 3.21
Eu (0.0000, 0.0000, 0.5000)  8 Ag 3.21
Eu (0.0000, 0.5000, 0.0000)  8 Ag 3.21
Eu (0.5000, 0.0000, 0.0000)  8 Ag 3.21
Eu (0.5000, 0.5000, 0.5000)  8 Ag 3.21
Ag (0.2500, 0.2500, 0.2500)  4 Pr 3.21, 4 Eu 3.21
Ag (0.2500, 0.2500, 0.7500)  4 Eu 3.21, 4 Pr 3.21
Ag (0.2500, 0.7500, 0.2500)  4 Eu 3.21, 4 Pr 3.21
Ag (0.2500, 0.7500, 0.7500)  4 Pr 3.21, 4 Eu 3.21
Ag (0.7500, 0.2500, 0.2500)  4 Eu 3.21, 4 Pr 3.21
Ag (0.7500, 0.2500, 0.7500)  4 Pr 3.21, 4 Eu 3.21
Ag (0.7500, 0.7500, 0.2500)  4 Pr 3.21, 4 Eu 3.21
Ag (0.7500, 0.7500, 0.7500)  4 Eu 3.21, 4 Pr 3.21

Number 1: DOS at the Fermi energy 0.4649 states/eV per atom. Number 2: DOS at the Fermi energy 0.7457 states/eV per atom. Number 3: DOS at the Fermi energy 1.3350 states/eV per atom.